# TiFeOsW2 PBE relaxed
data_TiFeOsW2
_cell_length_a 4.442
_cell_length_b 4.442
_cell_length_c 4.421
_cell_angle_alpha 90.00
_cell_angle_beta 90.00
_cell_angle_gamma 90.00
_space_group_name_H-M_alt 'P 4/m m m'
_space_group_IT_number 123
_space_group_name_Hall '-P 4 2'
loop_
_atom_site_label
_atom_site_type_symbol
_atom_site_fract_x
_atom_site_fract_y
_atom_site_fract_z
Ti1 Ti 0.000 0.000 0.000
Fe1 Fe 0.500 0.500 0.500
Os1 Os 0.500 0.500 0.000
W1 W 0.000 0.500 0.500
# Final energy (eV per atom): -9.5216
# Energy relative to the elements (eV/atom): 1.18

***

# TlFeOs2 PBE relaxed
data_TlFeOs2
_cell_length_a 2.879
_cell_length_b 4.877
_cell_length_c 9.339
_cell_angle_alpha 90.00
_cell_angle_beta 90.00
_cell_angle_gamma 90.00
_space_group_name_H-M_alt 'C m m 2'
_space_group_IT_number 35
_space_group_name_Hall 'C 2 -2'
loop_
_atom_site_label
_atom_site_type_symbol
_atom_site_fract_x
_atom_site_fract_y
_atom_site_fract_z
Tl1 Tl 0.000 0.000 0.000
Fe1 Fe 0.000 0.500 0.264
Os1 Os 0.000 0.000 0.488
Os2 Os 0.000 0.500 0.722
# Final energy (eV per atom): -7.4458
# Energy above the lowest structure with this stoichiometry (eV/atom): 0.320
# Energy relative to the elements (eV/atom): 0.88

***

# TlFeOs2 PBE relaxed
data_TlFeOs2
_cell_length_a 2.830
_cell_length_b 3.790
_cell_length_c 6.042
_cell_angle_alpha 90.00
_cell_angle_beta 90.01
_cell_angle_gamma 90.00
_space_group_name_H-M_alt 'P 1 m 1'
_space_group_IT_number 6
_space_group_name_Hall 'P -2y'
loop_
_atom_site_label
_atom_site_type_symbol
_atom_site_fract_x
_atom_site_fract_y
_atom_site_fract_z
Tl1 Tl 0.000 0.000 0.000
Fe1 Fe 0.500 0.500 0.268
Os1 Os 0.001 0.000 0.494
Os2 Os 0.502 0.500 0.681
# Final energy (eV per atom): -7.7001
# Energy above the lowest structure with this stoichiometry (eV/atom): 0.065
# Energy relative to the elements (eV/atom): 0.62

***

# TlFeOs2 PBE relaxed
data_TlFeOs2
_cell_length_a 3.977
_cell_length_b 3.977
_cell_length_c 7.859
_cell_angle_alpha 90.00
_cell_angle_beta 90.00
_cell_angle_gamma 90.00
_space_group_name_H-M_alt 'I -4 m 2'
_space_group_IT_number 119
_space_group_name_Hall 'I -4 -2'
loop_
_atom_site_label
_atom_site_type_symbol
_atom_site_fract_x
_atom_site_fract_y
_atom_site_fract_z
Tl1 Tl 0.000 0.000 0.000
Fe1 Fe 0.000 0.500 0.750
Os1 Os 0.000 0.000 0.500
Os2 Os 0.000 0.500 0.250
# Final energy (eV per atom): -7.4815
# Energy above the lowest structure with this stoichiometry (eV/atom): 0.284
# Energy relative to the elements (eV/atom): 0.84

***

# TlFeOs2 PBE relaxed
data_TlFeOs2
_cell_length_a 9.040
_cell_length_b 2.861
_cell_length_c 5.021
_cell_angle_alpha 90.00
_cell_angle_beta 101.42
_cell_angle_gamma 90.00
_space_group_name_H-M_alt 'C 1 2/m 1'
_space_group_IT_number 12
_space_group_name_Hall '-C 2y'
loop_
_atom_site_label
_atom_site_type_symbol
_atom_site_fract_x
_atom_site_fract_y
_atom_site_fract_z
Tl1 Tl 0.000 0.000 0.000
Fe1 Fe 0.000 0.500 0.500
Os1 Os 0.232 0.000 0.706
# Final energy (eV per atom): -7.6560
# Energy above the lowest structure with this stoichiometry (eV/atom): 0.110
# Energy relative to the elements (eV/atom): 0.67

***

# TlFeOs2 PBE relaxed
data_TlFeOs2
_cell_length_a 5.567
_cell_length_b 7.718
_cell_length_c 2.942
_cell_angle_alpha 90.00
_cell_angle_beta 90.00
_cell_angle_gamma 90.00
_space_group_name_H-M_alt 'C m m m'
_space_group_IT_number 65
_space_group_name_Hall '-C 2 2'
loop_
_atom_site_label
_atom_site_type_symbol
_atom_site_fract_x
_atom_site_fract_y
_atom_site_fract_z
Tl1 Tl 0.000 0.000 0.000
Fe1 Fe 0.000 0.500 0.000
Os1 Os 0.250 0.250 0.500
# Final energy (eV per atom): -7.3412
# Energy above the lowest structure with this stoichiometry (eV/atom): 0.424
# Energy relative to the elements (eV/atom): 0.98

***

# TlFeOs2 PBE relaxed
data_TlFeOs2
_cell_length_a 3.060
_cell_length_b 4.553
_cell_length_c 9.003
_cell_angle_alpha 90.00
_cell_angle_beta 90.00
_cell_angle_gamma 90.00
_space_group_name_H-M_alt 'I m m 2'
_space_group_IT_number 44
_space_group_name_Hall 'I 2 -2'
loop_
_atom_site_label
_atom_site_type_symbol
_atom_site_fract_x
_atom_site_fract_y
_atom_site_fract_z
Tl1 Tl 0.000 0.000 0.000
Fe1 Fe 0.000 0.500 0.751
Os1 Os 0.000 0.000 0.483
Os2 Os 0.000 0.500 0.232
# Final energy (eV per atom): -7.4414
# Energy above the lowest structure with this stoichiometry (eV/atom): 0.324
# Energy relative to the elements (eV/atom): 0.88

***

# TlFeOs2 PBE relaxed
data_TlFeOs2
_cell_length_a 9.044
_cell_length_b 2.890
_cell_length_c 4.968
_cell_angle_alpha 90.00
_cell_angle_beta 99.94
_cell_angle_gamma 90.00
_space_group_name_H-M_alt 'C 1 m 1'
_space_group_IT_number 8
_space_group_name_Hall 'C -2y'
loop_
_atom_site_label
_atom_site_type_symbol
_atom_site_fract_x
_atom_site_fract_y
_atom_site_fract_z
Tl1 Tl 0.000 0.000 0.000
Fe1 Fe 0.241 0.000 0.740
Os1 Os 0.002 0.500 0.502
Os2 Os 0.262 0.500 0.327
# Final energy (eV per atom): -7.5971
# Energy above the lowest structure with this stoichiometry (eV/atom): 0.168
# Energy relative to the elements (eV/atom): 0.73

***

# TlFeOs2 PBE relaxed
data_TlFeOs2
_cell_length_a 2.8412
_cell_length_b 2.8412
_cell_length_c 27.3178
_cell_angle_alpha 90.00
_cell_angle_beta 90.00
_cell_angle_gamma 120.00
_space_group_name_H-M_alt 'R -3 m'
_space_group_IT_number 166
_space_group_name_Hall '-R 3 2"'
loop_
_atom_site_label
_atom_site_type_symbol
_atom_site_fract_x
_atom_site_fract_y
_atom_site_fract_z
Tl1 Tl 0.0000 0.0000 0.0000
Fe1 Fe 0.0000 0.0000 0.5000
Os1 Os 0.0000 0.0000 0.2389
# Final energy (eV per atom): -7.5945
# Energy above the lowest structure with this stoichiometry (eV/atom): 0.171
# Energy relative to the elements (eV/atom): 0.73

***

# TlFeOs2 PBE relaxed
data_TlFeOs2
_cell_length_a 6.322
_cell_length_b 6.322
_cell_length_c 6.322
_cell_angle_alpha 90.00
_cell_angle_beta 90.00
_cell_angle_gamma 90.00
_space_group_name_H-M_alt 'F -4 3 m'
_space_group_IT_number 216
_space_group_name_Hall 'F -4 2 3'
loop_
_atom_site_label
_atom_site_type_symbol
_atom_site_fract_x
_atom_site_fract_y
_atom_site_fract_z
Tl1 Tl 0.000 0.000 0.000
Fe1 Fe 0.250 0.250 0.250
Os1 Os 0.000 0.000 0.500
Os2 Os 0.250 0.250 0.750
# Final energy (eV per atom): -7.4122
# Energy above the lowest structure with this stoichiometry (eV/atom): 0.353
# Energy relative to the elements (eV/atom): 0.91

***

# TlFeOs2 PBE relaxed
data_TlFeOs2
_cell_length_a 2.934
_cell_length_b 2.958
_cell_length_c 7.260
_cell_angle_alpha 90.00
_cell_angle_beta 90.00
_cell_angle_gamma 90.00
_space_group_name_H-M_alt 'P m m m'
_space_group_IT_number 47
_space_group_name_Hall '-P 2 2'
loop_
_atom_site_label
_atom_site_type_symbol
_atom_site_fract_x
_atom_site_fract_y
_atom_site_fract_z
Tl1 Tl 0.000 0.000 0.000
Fe1 Fe 0.000 0.000 0.500
Os1 Os 0.500 0.500 0.301
# Final energy (eV per atom): -7.6208
# Energy above the lowest structure with this stoichiometry (eV/atom): 0.145
# Energy relative to the elements (eV/atom): 0.70

***

# TlFeOs2 PBE relaxed
data_TlFeOs2
_cell_length_a 2.913
_cell_length_b 4.802
_cell_length_c 9.415
_cell_angle_alpha 90.00
_cell_angle_beta 90.00
_cell_angle_gamma 90.00
_space_group_name_H-M_alt 'C m m m'
_space_group_IT_number 65
_space_group_name_Hall '-C 2 2'
loop_
_atom_site_label
_atom_site_type_symbol
_atom_site_fract_x
_atom_site_fract_y
_atom_site_fract_z
Tl1 Tl 0.000 0.000 0.000
Fe1 Fe 0.000 0.000 0.500
Os1 Os 0.000 0.500 0.283
# Final energy (eV per atom): -7.4720
# Energy above the lowest structure with this stoichiometry (eV/atom): 0.294
# Energy relative to the elements (eV/atom): 0.85